No. 1
The following is a DFT calculation (PBE) of crystalline CuTePdAu at its relaxed geometry.

Lattice parameters (Å, degrees): 4.651 4.651 4.651 60.00 60.00 60.00
Element x y z (fractional)
Au 0.500 0.500 0.500
Cu 0.750 0.750 0.750
Pd 0.250 0.250 0.250
Te 0.000 0.000 0.000

Output
- total energy (eV/cell) = -15.11
- energy above the lowest structure with this stoichiometry (meV per atom) = 0

No. 2
The following is a DFT calculation (PBE) of crystalline CuPdWAu at its relaxed geometry.

Lattice parameters (Å, degrees): 4.446 4.446 4.446 60.00 60.00 60.00
Element x y z (fractional)
Au 0.000 0.000 0.000
Cu 0.750 0.750 0.750
Pd 0.500 0.500 0.500
W 0.250 0.250 0.250

Output
- total magnetic moment (μB per cell) = 0.00
- total energy (eV/cell) = -23.77
- energy above the lowest structure with this stoichiometry (meV per atom) = 18
- energy of formation (eV per atom) = 0.336

No. 3
The following is a DFT calculation (PBE) of crystalline CuPdWAu at its relaxed geometry.

Lattice parameters (Å, degrees): 4.416 4.416 4.416 60.00 60.00 60.00
Element x y z (fractional)
Au 0.250 0.250 0.250
Cu 0.750 0.750 0.750
Pd 0.500 0.500 0.500
W 0.000 0.000 0.000

Output
- total magnetic moment (μB per cell) = 0.00
- total energy (eV/cell) = -23.75
- energy above the lowest structure with this stoichiometry (meV per atom) = 24
- energy of formation (eV per atom) = 0.342